VASP calculation (PBE) on a relaxed structure of LaTcRh2.

## Properties
Energy of formation in eV/atom: 0.259
Space group: I-42d, No. 122
Offset from the most stable computed form in meV per atom: 316

Cell lengths 4.8596, 4.8596, 8.8317 Å; angles 74.03, 74.03, 90.00 degrees
With the nearest neighbours (Å) after each atom.
Positions (direct):
Rh (0.3750, 0.5336, 0.7500)  2 Tc 2.41, 2 Rh 2.59
Rh (0.2836, 0.6250, 0.2500)  2 Tc 2.41, 2 Rh 2.59
Rh (0.8750, 0.7164, 0.7500)  2 Tc 2.41, 2 Rh 2.59
Rh (0.4664, 0.1250, 0.2500)  2 Tc 2.41, 2 Rh 2.59
Tc (0.5000, 0.5000, 0.0000)  4 Rh 2.41
Tc (0.2500, 0.7500, 0.5000)  4 Rh 2.41
La (0.7500, 0.2500, 0.5000)  4 Rh 3.09, 4 Tc 3.44
La (0.0000, 0.0000, 0.0000)  4 Rh 3.09, 4 Tc 3.44

---

VASP calculation (PBE) on a relaxed structure of AcPrAg4.

## Properties
Energy of formation in eV/atom: -0.143
Space group: F-43m, No. 216
Offset from the most stable computed form in meV per atom: 139

Cell lengths 5.9082, 5.9082, 5.9082 Å; angles 60.00, 60.00, 60.00 degrees
With the nearest neighbours (Å) after each atom.
Positions (direct):
Ag (0.6255, 0.1236, 0.6255)  6 Ag 2.94-2.96
Ag (0.1236, 0.6255, 0.6255)  6 Ag 2.94-2.96
Ag (0.6255, 0.6255, 0.6255)  6 Ag 2.94-2.96
Ag (0.6255, 0.6255, 0.1236)  6 Ag 2.94-2.96
Pr (0.0000, 0.0000, 0.0000)  12 Ag 3.46, 4 Ac 3.62
Ac (0.2500, 0.2500, 0.2500)  12 Ag 3.47, 4 Pr 3.62

---

VASP calculation (PBE) on a relaxed structure of NaLi3.

## Properties
Energy of formation in eV/atom: 0.050
Space group: Pmm2, No. 25
Offset from the most stable computed form in meV per atom: 28

Cell lengths 3.1738, 5.3573, 5.6908 Å; angles 90.00, 90.00, 90.00 degrees
With the nearest neighbours (Å) after each atom.
Positions (direct):
Na (0.0000, 0.5000, 0.3244)  2 Na 3.17, 10 Li 3.26-3.32
Li (0.5000, 0.0000, 0.5269)  8 Li 3.08-3.44, 4 Na 3.32
Li (0.0000, 0.0000, 0.9915)  10 Li 3.08-3.44, 2 Na 3.28
Li (0.5000, 0.5000, 0.8239)  8 Li 3.17-3.26, 4 Na 3.26

---

VASP calculation (PBE) on a relaxed structure of TlGaTe2N.

## Properties
Space group: P4/mmm, No. 123
Formation energy from raw total energies in eV per atom: 0.412
Offset from the most stable computed form in meV per atom: 0

Cell lengths 6.1856, 6.1856, 3.4788 Å; angles 90.00, 90.00, 90.00 degrees
With the nearest neighbours (Å) after each atom.
Positions (direct):
Ga (0.0000, 0.0000, 0.0000)  2 N 1.74
Te (0.5000, 0.0000, 0.0000)  2 Ga 3.09
Te (0.0000, 0.5000, 0.0000)  2 Ga 3.09
Tl (0.5000, 0.5000, 0.5000)  2 Tl 3.48, 8 Te 3.55
N (0.0000, 0.0000, 0.5000)  2 Ga 1.74

---

VASP calculation (PBE) on a relaxed structure of LaCd2Ni.

## Properties
Energy of formation in eV/atom: -0.086
Space group: P4/mmm, No. 123

Cell lengths 3.3359, 3.3325, 7.8374 Å; angles 90.00, 90.00, 90.00 degrees
With the nearest neighbours (Å) after each atom.
Positions (direct):
Cd (0.0000, 0.0000, 0.9356)  4 Ni 2.77, 1 Cd 2.91
Cd (0.0000, 0.0000, 0.5644)  4 Ni 2.77, 1 Cd 2.91
Ni (0.5000, 0.5000, 0.7500)  8 Cd 2.77
La (0.5000, 0.5000, 0.2500)  4 La 3.33-3.34, 8 Cd 3.41

---

VASP calculation (PBE) on a relaxed structure of Tb2Dy2YSc.

## Properties
Energy of formation in eV/atom: 0.070
Space group: Pmma, No. 51

Cell lengths 5.5164, 6.9572, 9.5578 Å; angles 90.00, 90.00, 90.00 degrees
With the nearest neighbours (Å) after each atom.
Positions (direct):
Sc (0.5000, 0.7577, 0.3258)  3 Tb 3.11-3.16
Sc (0.5000, 0.2577, 0.6742)  3 Tb 3.11-3.16
Tb (0.0000, 0.7576, 0.1766)  2 Sc 3.11, 1 Dy 3.22
Tb (0.5000, 0.7576, 0.6560)  3 Sc 3.16-3.48, 2 Dy 3.27
Tb (0.5000, 0.2576, 0.3440)  3 Sc 3.16-3.48, 2 Dy 3.27
Tb (0.0000, 0.2576, 0.8234)  2 Sc 3.11, 1 Dy 3.22
Dy (0.5000, 0.5076, 0.0001)  6 Dy 3.48-3.60, 2 Sc 3.57, 6 Tb 3.67-3.72
Dy (0.0000, 0.2575, 0.1603)  5 Tb 3.22-3.48, 4 Dy 3.60
Dy (0.5000, 0.0076, 0.9999)  6 Dy 3.48-3.60, 2 Sc 3.57, 6 Tb 3.67-3.72
Dy (0.0000, 0.7575, 0.8397)  5 Tb 3.22-3.48, 4 Dy 3.60
Y (0.0000, 0.5076, 0.5000)  2 Y 3.48, 6 Tb 3.55-3.59, 4 Sc 3.66, 2 Dy 3.68
Y (0.0000, 0.0076, 0.5000)  2 Y 3.48, 6 Tb 3.55-3.59, 4 Sc 3.66, 2 Dy 3.68

---

VASP calculation (PBE) on a relaxed structure of Na3Pm2PuS6.

## Properties
Space group: C2/m, No. 12
Formation energy from raw total energies in eV per atom: -1.704

Cell lengths 7.0848, 7.0848, 7.0728 Å; angles 99.61, 99.61, 120.00 degrees
With the nearest neighbours (Å) after each atom.
Positions (direct):
Pm (0.3334, 0.6666, 0.0000)  6 S 2.83
Pm (0.6666, 0.3334, 0.0000)  6 S 2.83
S (0.0769, 0.4067, 0.2307)  1 Pu 2.80, 2 Pm 2.83, 3 Na 2.96-2.99
S (0.2530, 0.2530, 0.7699)  1 Pu 2.79, 2 Pm 2.83, 3 Na 2.96-2.99
S (0.7470, 0.7470, 0.2301)  1 Pu 2.79, 2 Pm 2.83, 3 Na 2.96-2.99
S (0.5933, 0.9231, 0.7693)  1 Pu 2.80, 2 Pm 2.83, 3 Na 2.96-2.99
S (0.4067, 0.0769, 0.2307)  1 Pu 2.80, 2 Pm 2.83, 3 Na 2.96-2.99
S (0.9231, 0.5933, 0.7693)  1 Pu 2.80, 2 Pm 2.83, 3 Na 2.96-2.99
Na (0.5000, 0.5000, 0.5000)  6 S 2.96-2.99
Na (0.8332, 0.1668, 0.5000)  6 S 2.96-2.99
Na (0.1668, 0.8332, 0.5000)  6 S 2.96-2.99
Pu (0.0000, 0.0000, 0.0000)  6 S 2.79-2.80

---

VASP calculation (PBE) on a relaxed structure of InPt.

## Properties
Energy of formation in eV/atom: -0.302
Space group: P-6m2, No. 187

Cell lengths 3.1829, 3.1829, 4.2655 Å; angles 90.00, 90.00, 120.00 degrees
With the nearest neighbours (Å) after each atom.
Positions (direct):
In (0.0000, 0.0000, 0.0000)  6 Pt 2.82
Pt (0.3333, 0.6667, 0.5000)  6 In 2.82

---

no.,total moment (μB per formula unit),D(E_F) (states/eV/cell),uncorrected energy (eV per formula unit)
1,0.00,15.00,-28.96
2,0.00,5.78,-21.15
3,0.00,1.67,-6.86
4,0.00,4.56,-17.94
5,0.03,2.95,-12.88
6,0.00,22.33,-30.84
7,5.00,11.91,-73.00
8,0.00,0.61,-9.38